Material: Ac2Sm3Tl
Method: DFT, PBE
State: optimized geometry

Unit cell a=5.1099 b=5.1365 c=8.3719 alpha=107.86 beta=90.00 gamma=90.00
Fractional positions:
Sm (0.5000, 0.8413, 0.6826)
Sm (0.5000, 0.5000, 0.0000)
Sm (0.5000, 0.1587, 0.3174)
Ac (0.0000, 0.3370, 0.6741)
Ac (0.0000, 0.6630, 0.3259)
Tl (0.0000, 0.0000, 0.0000)

Results
Calculated volume = 34.86 Å³ per atom
ΔE_f = -0.06 eV per atom
Calculated total energy = -25.082 eV for the cell shown

---

Material: ZrNpTcPt
Method: DFT, PBE
State: optimized geometry

Unit cell a=4.7687 b=4.7687 c=4.7687 alpha=60.00 beta=60.00 gamma=60.00
Site moments in Bohr magnetons follow the coordinates.
Fractional positions:
Zr (0.5000, 0.5000, 0.5000)  0.17
Tc (0.2500, 0.2500, 0.2500)  -0.38
Pt (0.7500, 0.7500, 0.7500)  -0.10
Np (0.0000, 0.0000, 0.0000)  3.50

Results
Calculated volume = 19.17 Å³ per atom
ΔE_f = -0.32 eV per atom
Calculated total energy = -39.177 eV for the cell shown